This record from Alexandria via LeMat-Bulk describes a geometry-optimized SmCd8Ag2 structure. The functional is GGA-PBE.

Properties
Theoretical density (g/cm³): 8.01
Symmetry: C2/m (12)
Electronic total energy (eV per atom): -1.624

a = 7.546 Å, b = 7.546 Å, c = 5.344 Å
α = 100.30°, β = 100.30°, γ = 114.04°
Fractional positions:
Sm (0.000, 0.000, 0.000)
Cd (0.085, 0.320, 0.626)
Cd (0.250, 0.750, 0.000)
Cd (0.320, 0.085, 0.626)
Cd (0.406, 0.406, 0.196)
Cd (0.594, 0.594, 0.804)
Cd (0.680, 0.915, 0.374)
Cd (0.750, 0.250, 0.000)
Cd (0.915, 0.680, 0.374)
Ag (0.308, 0.692, 0.500)
Ag (0.692, 0.308, 0.500)